{
  "formula": "NdMgZrSc",
  "functional": "PBE",
  "state": "optimized geometry",
  "delta_e_f_ev_per_atom": 0.12,
  "m_tot_mub_per_fu": 0.912,
  "lattice": [[0.0000, 3.7154, 3.7154], [3.7154, 0.0000, 3.7154], [3.7154, 3.7154, 0.0000]],
  "species": ["Nd", "Mg", "Zr", "Sc"],
  "fractional_positions": [[0.0000, 0.0000, 0.0000], [0.7500, 0.7500, 0.7500], [0.5000, 0.5000, 0.5000], [0.2500, 0.2500, 0.2500]]
}

{
  "formula": "Nd2MgSe4",
  "functional": "PBE",
  "state": "optimized geometry",
  "relative_energy_mev_per_atom": 18,
  "m_tot_mub_per_fu": 0.000,
  "lattice": [[7.0265, 0.0000, 0.0000], [0.0000, 7.6896, 0.0000], [0.0000, 0.0000, 14.5164]],
  "species": ["Nd", "Nd", "Nd", "Nd", "Nd", "Nd", "Nd", "Nd", "Mg", "Mg", "Mg", "Mg", "Se", "Se", "Se", "Se", "Se", "Se", "Se", "Se", "Se", "Se", "Se", "Se", "Se", "Se", "Se", "Se"],
  "fractional_positions": [[0.0048, 0.1084, 0.1421], [0.0048, 0.3916, 0.6421], [0.4952, 0.6084, 0.1421], [0.4952, 0.8916, 0.6421], [0.5048, 0.1084, 0.3579], [0.5048, 0.3916, 0.8579], [0.9952, 0.6084, 0.3579], [0.9952, 0.8916, 0.8579], [0.0000, 0.0000, 0.5000], [0.0000, 0.5000, 0.0000], [0.5000, 0.0000, 0.0000], [0.5000, 0.5000, 0.5000], [0.1259, 0.5345, 0.8198], [0.1259, 0.9655, 0.3198], [0.1831, 0.6861, 0.5434], [0.1831, 0.8139, 0.0434], [0.3169, 0.1861, 0.5434], [0.3169, 0.3139, 0.0434], [0.3741, 0.0345, 0.8198], [0.3741, 0.4655, 0.3198], [0.6259, 0.5345, 0.6802], [0.6259, 0.9655, 0.1802], [0.6831, 0.6861, 0.9566], [0.6831, 0.8139, 0.4566], [0.8169, 0.1861, 0.9566], [0.8169, 0.3139, 0.4566], [0.8741, 0.0345, 0.6802], [0.8741, 0.4655, 0.1802]]
}

{
  "formula": "Nd5MgSe8",
  "functional": "PBE",
  "state": "optimized geometry",
  "energy_ha_per_atom": -0.20418,
  "m_tot_mub_per_fu": 0.000,
  "lattice": [[-4.4249, 4.4249, 4.5312], [4.4249, -4.4249, 4.5312], [4.4249, 4.4249, -4.5312]],
  "species": ["Nd", "Nd", "Nd", "Nd", "Nd", "Mg", "Se", "Se", "Se", "Se", "Se", "Se", "Se", "Se"],
  "fractional_positions": [[0.0000, 0.0000, 0.0000], [0.1312, 0.5125, 0.8754], [0.4875, 0.3629, 0.6188], [0.6371, 0.2559, 0.1246], [0.7441, 0.8688, 0.3812], [0.2500, 0.7500, 0.5000], [0.0162, 0.2576, 0.4004], [0.2308, 0.1014, 0.7451], [0.3563, 0.4857, 0.2549], [0.3842, 0.9838, 0.2414], [0.5143, 0.7692, 0.8706], [0.7424, 0.1429, 0.7586], [0.8571, 0.6158, 0.5996], [0.8986, 0.6437, 0.1294]]
}

- Which formula does entry 1 have?
  NdMgZrSc